(1)
{
  "formula": "Tm3MnB7",
  "functional": "PBE",
  "state": "optimized geometry",
  "sg": "No. 63",
  "formation_enthalpy_0k_ev_per_atom": -0.67,
  "lattice": [[1.696, -7.757, 0.000], [1.696, 7.757, 0.000], [0.000, 0.000, 9.202]],
  "species": ["Tm", "Tm", "Tm", "Tm", "Tm", "Tm", "Mn", "Mn", "B", "B", "B", "B", "B", "B", "B", "B", "B", "B", "B", "B", "B", "B"],
  "frac_coords": [[0.105, 0.895, 0.560], [0.105, 0.895, 0.940], [0.241, 0.759, 0.250], [0.759, 0.241, 0.750], [0.895, 0.105, 0.060], [0.895, 0.105, 0.440], [0.053, 0.947, 0.250], [0.947, 0.053, 0.750], [0.272, 0.728, 0.533], [0.272, 0.728, 0.967], [0.370, 0.630, 0.652], [0.370, 0.630, 0.848], [0.457, 0.543, 0.250], [0.479, 0.521, 0.597], [0.479, 0.521, 0.903], [0.521, 0.479, 0.097], [0.521, 0.479, 0.403], [0.543, 0.457, 0.750], [0.630, 0.370, 0.152], [0.630, 0.370, 0.348], [0.728, 0.272, 0.033], [0.728, 0.272, 0.467]]
}

(2)
{
  "formula": "Cr5Au3",
  "functional": "PBE",
  "state": "optimized geometry",
  "sg": "No. 12",
  "formation_enthalpy_0k_ev_per_atom": 0.45,
  "lattice": [[2.632, -7.148, 0.000], [2.632, 7.148, 0.000], [-2.624, 0.000, 7.263]],
  "species": ["Cr", "Cr", "Cr", "Cr", "Cr", "Cr", "Cr", "Cr", "Cr", "Cr", "Au", "Au", "Au", "Au", "Au", "Au"],
  "frac_coords": [[0.086, 0.751, 0.812], [0.249, 0.914, 0.188], [0.271, 0.271, 0.046], [0.274, 0.465, 0.664], [0.465, 0.274, 0.664], [0.535, 0.726, 0.336], [0.726, 0.535, 0.336], [0.729, 0.729, 0.954], [0.751, 0.086, 0.812], [0.914, 0.249, 0.188], [0.113, 0.113, 0.347], [0.244, 0.756, 0.500], [0.329, 0.671, 0.000], [0.671, 0.329, 0.000], [0.756, 0.244, 0.500], [0.887, 0.887, 0.653]]
}

(3)
{
  "formula": "TbTc2Ge2",
  "functional": "PBE",
  "state": "optimized geometry",
  "sg": "No. 74",
  "formation_enthalpy_0k_ev_per_atom": -0.46,
  "lattice": [[-2.075, 2.079, 10.763], [2.075, -2.079, 10.763], [2.075, 2.079, -10.763]],
  "species": ["Tb", "Tb", "Tc", "Tc", "Tc", "Tc", "Ge", "Ge", "Ge", "Ge"],
  "frac_coords": [[0.340, 0.090, 0.250], [0.660, 0.910, 0.750], [0.037, 0.787, 0.250], [0.464, 0.714, 0.750], [0.536, 0.286, 0.250], [0.963, 0.213, 0.750], [0.105, 0.355, 0.750], [0.221, 0.471, 0.750], [0.779, 0.529, 0.250], [0.895, 0.645, 0.250]]
}

(4)
{
  "formula": "KNa2PmCl6",
  "functional": "PBE",
  "state": "optimized geometry",
  "sg": "No. 146",
  "formation_energy_uncorrected_ev_per_atom": -2.038,
  "lattice": [[3.630, 2.096, 6.579], [-3.630, 2.096, 6.579], [0.000, -4.192, 6.579]],
  "species": ["K", "Na", "Na", "Pm", "Cl", "Cl", "Cl", "Cl", "Cl", "Cl"],
  "frac_coords": [[0.000, 0.000, 0.000], [0.202, 0.202, 0.202], [0.713, 0.713, 0.713], [0.514, 0.514, 0.514], [0.126, 0.433, 0.783], [0.345, 0.911, 0.563], [0.433, 0.783, 0.126], [0.563, 0.345, 0.911], [0.783, 0.126, 0.433], [0.911, 0.563, 0.345]]
}

Let's list M_tot in order: 0.02; 1.50; 0.00; 0.00 μB per atom.